This record from Alexandria via LeMat-Bulk describes a PBEsol-optimized structure of K2Ag2Au. The functional is meta-GGA SCAN.

The calculated volume comes out at 27.98 A^3/atom. For the density of states at the Fermi level, the calculation gives 1.05 states/eV/f.u. For the formation energy from the elements, the calculation gives -97 meV per atom.

a b c (Å): 10.035 10.035 10.035
angles (deg): 158.15 158.15 31.10
Atoms (fractional coordinates):
K (0.102, 0.102, 0.000)
K (0.898, 0.898, 0.000)
Ag (0.250, 0.750, 0.500)
Ag (0.750, 0.250, 0.500)
Au (0.500, 0.500, 0.000)